Version i
RbVN2F PBE with a Hubbard U relaxed; V = 13.92 A^3/atom; mass density = 4.38 g/cm³; DOS(E_F) = 1.3 states/eV/f.u.
1.0
-3.6494 -0.0392 1.3427
1.3099 -0.9646 3.5321
0.3520 4.4576 1.0867
F V N Rb
1 1 2 1
direct
0.0000 0.0000 0.5000
0.0000 0.0000 0.0000
0.5000 0.0000 0.0000
0.0000 0.5000 0.0000
0.5000 0.5000 0.5000

---

Version ii
RbVN2F PBE with a Hubbard U relaxed; V = 18.52 A^3/atom; mass density = 3.29 g/cm³; DOS(E_F) = 2.7 states/eV/f.u.
1.0
4.4523 0.0000 0.0000
0.0000 4.4523 0.0000
0.0000 0.0000 4.6716
V N Rb F
1 2 1 1
direct
0.5000 0.5000 0.5000
0.5000 0.0000 0.0000
0.0000 0.5000 0.0000
0.0000 0.0000 0.0000
0.0000 0.0000 0.5000

---

Stability summary - winner: version i; margin: 2557 meV/atom.

---

Version i
RbWNF2 PBE with a Hubbard U relaxed; V = 21.27 A^3/atom; mass density = 5.02 g/cm³; DOS(E_F) = 4.5 states/eV/f.u.
1.0
4.8231 0.0000 0.0000
0.0000 4.8231 0.0000
0.0000 0.0000 4.5707
F Rb N W
2 1 1 1
direct
0.5000 0.0000 0.0000
0.0000 0.5000 0.0000
0.0000 0.0000 0.0000
0.0000 0.0000 0.5000
0.5000 0.5000 0.5000

---

Version ii
RbWNF2 PBE with a Hubbard U relaxed; V = 15.85 A^3/atom; mass density = 6.73 g/cm³; DOS(E_F) = 0.6 states/eV/f.u.
1.0
-0.5618 2.2340 -3.7820
-1.7563 -3.6090 -1.8709
-3.6748 1.1524 1.2266
N W F Rb
1 1 2 1
direct
0.0000 0.0000 0.5000
0.0000 0.0000 0.0000
0.5000 0.0000 0.0000
0.0000 0.5000 0.0000
0.5000 0.5000 0.5000

---

Stability summary - winner: version ii; margin: 2228 meV/atom.